# Li2Cr3WO8 | Alexandria | SCAN | PBEsol geometry
data_Li2Cr3WO8
_cell_length_a 5.9181
_cell_length_b 5.9181
_cell_length_c 14.0142
_cell_angle_alpha 90.00
_cell_angle_beta 90.00
_cell_angle_gamma 120.00
_symmetry_space_group_name_H-M 'R -3 m'
_symmetry_Int_Tables_number 166
_symmetry_space_group_name_Hall '-R 3 2"'
loop_
_atom_site_label
_atom_site_type_symbol
_atom_site_fract_x
_atom_site_fract_y
_atom_site_fract_z
Li1 Li 0.0000 0.0000 0.1264
Cr1 Cr 0.0000 0.5000 0.0000
W1 W 0.0000 0.0000 0.5000
O1 O 0.0000 0.0000 0.2642
O2 O 0.0271 0.5136 0.2527
# Distance to the lowest polymorph of the same formula, meV/atom: 9
# Theoretical density, Mg/m³: 5.65
# Raw formation energy, eV/atom: -2.39
# Total DFT energy (no corrections), Ha/atom: -0.5590